Record 1
# LaPmY (PBE, optimized geometry)
# - excess energy over the best structure of this formula in the dataset (meV/atom) = 0
# - formation energy (meV per atom) = 17
data_LaPmY
_chemical_formula_sum 'La1 Pm1 Y1'
_cell_length_a 3.6562
_cell_length_b 3.6562
_cell_length_c 8.9536
_cell_angle_alpha 90.00
_cell_angle_beta 90.00
_cell_angle_gamma 120.00
_symmetry_space_group_name_H-M 'P 3 m 1'
_symmetry_Int_Tables_number 156
_symmetry_space_group_name_Hall 'P 3 -2"'
loop_
_atom_site_label
_atom_site_type_symbol
_atom_site_fract_x
_atom_site_fract_y
_atom_site_fract_z
La1 La 0.0000 0.0000 0.0000
Pm1 Pm 0.6667 0.3333 0.3411
Y1 Y 0.3333 0.6667 0.6657



Record 2
# CaZnAs2 (PBE, optimized geometry)
# - formation energy (meV per atom) = -253
data_CaZnAs2
_chemical_formula_sum 'Ca1 Zn1 As2'
_cell_length_a 3.2104
_cell_length_b 4.6555
_cell_length_c 5.9781
_cell_angle_alpha 90.00
_cell_angle_beta 90.00
_cell_angle_gamma 90.00
_symmetry_space_group_name_H-M 'P m m 2'
_symmetry_Int_Tables_number 25
_symmetry_space_group_name_Hall 'P 2 -2'
loop_
_atom_site_label
_atom_site_type_symbol
_atom_site_fract_x
_atom_site_fract_y
_atom_site_fract_z
Ca1 Ca 0.0000 0.0000 0.0000
Zn1 Zn 0.5000 0.5000 0.3542
As1 As 0.0000 0.0000 0.4927
As2 As 0.5000 0.5000 0.9173



Record 3
# TiHg3B (PBE, optimized geometry)
# - excess energy over the best structure of this formula in the dataset (meV/atom) = 642
# - formation energy (meV per atom) = 1460
data_TiHg3B
_chemical_formula_sum 'Ti1 Hg3 B1'
_cell_length_a 5.3971
_cell_length_b 5.3971
_cell_length_c 5.3971
_cell_angle_alpha 90.00
_cell_angle_beta 90.00
_cell_angle_gamma 90.00
_symmetry_space_group_name_H-M 'P m -3 m'
_symmetry_Int_Tables_number 221
_symmetry_space_group_name_Hall '-P 4 2 3'
loop_
_atom_site_label
_atom_site_type_symbol
_atom_site_fract_x
_atom_site_fract_y
_atom_site_fract_z
Ti1 Ti 0.0000 0.0000 0.0000
Hg1 Hg 0.0000 0.0000 0.5000
B1 B 0.5000 0.5000 0.5000



Number 1: magnetic moment 0.00 μB/atom, DOS(E_F) 1.516 states/eV per atom. Number 2: magnetic moment 0.00 μB/atom, DOS(E_F) 0.619 states/eV per atom. Number 3: magnetic moment 0.50 μB/atom, DOS(E_F) 1.271 states/eV per atom.